[1]
The following is a DFT calculation (PBE-GGA) of crystalline KHg at its relaxed geometry.

The structure in POSCAR format:
```
KHg
1.0
6.652 -0.255 0.015
4.850 4.560 0.015
4.522 1.692 7.525
Hg K
3 3
direct
0.954 0.954 0.967 Hg
0.614 0.614 0.720 Hg
0.679 0.679 0.306 Hg
0.383 0.383 0.299 K
0.970 0.970 0.572 K
0.234 0.234 0.969 K
```

- Energy of formation from the pure elements: -0.21 eV/atom
- SG: Cm (8)
- Crystal system: monoclinic

[2]
The following is a DFT calculation (PBE-GGA) of crystalline KHg4 at its relaxed geometry.

The structure in POSCAR format:
```
KHg4
1.0
9.448 0.000 0.000
-3.149 8.907 0.000
-3.149 -4.454 7.714
Hg K
16 4
direct
0.785 0.785 0.785 Hg
0.215 0.000 0.000 Hg
0.000 0.215 0.000 Hg
0.000 0.000 0.215 Hg
0.654 0.654 0.000 Hg
0.346 0.346 0.000 Hg
0.654 0.000 0.654 Hg
0.346 0.000 0.346 Hg
0.000 0.654 0.654 Hg
0.000 0.346 0.346 Hg
0.250 0.750 0.500 Hg
0.750 0.250 0.500 Hg
0.750 0.500 0.250 Hg
0.250 0.500 0.750 Hg
0.500 0.250 0.750 Hg
0.500 0.750 0.250 Hg
0.425 0.425 0.425 K
0.575 0.000 0.000 K
0.000 0.575 0.000 K
0.000 0.000 0.575 K
```

- Excess energy over the best structure of this formula in the dataset: 0.016 eV/atom
- Energy of formation from the pure elements: -0.16 eV/atom
- SG: I-43m (217)
- Crystal system: cubic

[3]
The following is a DFT calculation (PBE-GGA) of crystalline K2Hg7 at its relaxed geometry.

The structure in POSCAR format:
```
K2Hg7
1.0
-6.079 -1.141 -1.329
-1.644 -2.097 -5.737
-0.817 -16.367 2.730
K Hg
4 14
direct
0.051 0.051 0.847 K
0.949 0.949 0.153 K
0.150 0.150 0.550 K
0.850 0.850 0.450 K
0.500 0.500 0.500 Hg
0.277 0.277 0.168 Hg
0.723 0.723 0.832 Hg
0.390 0.390 0.829 Hg
0.610 0.610 0.171 Hg
0.500 0.000 0.000 Hg
0.000 0.500 0.000 Hg
0.500 0.500 0.000 Hg
0.615 0.615 0.662 Hg
0.615 0.107 0.662 Hg
0.107 0.615 0.662 Hg
0.385 0.385 0.338 Hg
0.385 0.893 0.338 Hg
0.893 0.385 0.338 Hg
```

- Excess energy over the best structure of this formula in the dataset: 0.036 eV/atom
- Energy of formation from the pure elements: -0.18 eV/atom
- SG: R-3m (166)
- Crystal system: trigonal

[4]
The following is a DFT calculation (PBE-GGA) of crystalline K5Hg at its relaxed geometry.

The structure in POSCAR format:
```
K5Hg
1.0
0.163 7.907 2.152
-4.908 -5.228 3.970
5.715 -1.502 5.088
K Hg
5 1
direct
0.333 0.667 0.000 K
0.667 0.333 0.000 K
0.500 0.000 0.500 K
0.000 0.500 0.500 K
0.500 0.500 0.500 K
0.000 0.000 0.000 Hg
```

- Excess energy over the best structure of this formula in the dataset: 0.176 eV/atom
- Energy of formation from the pure elements: 0.10 eV/atom
- SG: P6/mmm (191)
- Crystal system: hexagonal

Number 1: E_tot -0.909 eV per atom. Number 2: E_tot -0.620 eV per atom. Number 3: E_tot -0.663 eV per atom. Number 4: E_tot -0.861 eV per atom.